<1>
SeO, optimized geometry, DFT PBE; D(E_F) = 0.436 states/eV per atom; space-group type = No. 216
1.0
0.000 2.622 2.622
2.622 0.000 2.622
2.622 2.622 0.000
Se O
1 1
Cartesian
0.000 0.000 0.000 Se
1.311 1.311 1.311 O

=====

<2>
SeO, optimized geometry, DFT PBE; space-group type = No. 6
1.0
4.437 0.000 0.000
0.000 3.715 0.000
-2.101 0.000 4.610
Se O
2 2
Cartesian
0.000 0.000 0.000 Se
0.078 1.857 1.878 Se
-0.460 0.000 4.249 O
1.739 1.857 2.107 O

=====

<3>
SeO, optimized geometry, DFT PBE; space-group type = No. 186
1.0
3.530 0.000 0.000
-1.765 3.057 0.000
0.000 0.000 8.841
Se O
2 2
Cartesian
0.000 2.038 0.000 Se
1.765 1.019 4.421 Se
0.000 2.038 4.854 O
1.765 1.019 0.434 O

=====

The most stable structure shown above is <2>; the least stable is <1>.